Entry 1:
PBE Ga2Ge2Rh7, optimized geometry; DFT formation energy = -314 meV/atom; volume = 165 Å³/cell
1.0
5.800 0.247 -0.571
0.103 5.742 0.637
-0.907 0.670 5.128
Ga Ge Rh
2 2 7
direct
0.661 0.061 0.197
0.339 0.939 0.803
0.822 0.428 0.778
0.178 0.572 0.222
0.002 0.248 0.465
0.689 0.629 0.090
0.998 0.752 0.535
0.311 0.371 0.910
0.000 0.000 0.000
0.489 0.749 0.496
0.511 0.251 0.504

***

Entry 2:
PBE ScCdHg2H, optimized geometry; volume = 94 Å³/cell; E = -11.72 eV/cell
1.0
-0.766 1.025 -4.785
-3.639 -3.357 -0.137
-2.527 2.700 0.983
Sc H Hg Cd
1 1 2 1
direct
0.000 0.000 0.500
0.000 0.000 0.000
0.000 0.500 0.000
0.500 0.000 0.000
0.500 0.500 0.500

***

Entry 3:
PBE Sc2PRh, optimized geometry; DFT formation energy = -1013 meV/atom; volume = 68 Å³/cell
1.0
3.346 0.000 0.000
0.000 3.346 0.000
0.000 0.000 6.038
Sc P Rh
2 1 1
direct
0.000 0.000 0.258
0.000 0.000 0.742
0.500 0.500 0.500
0.500 0.500 0.000

***

Entry 4:
PBE SrTlReBi2, optimized geometry; DFT formation energy = 1061 meV/atom; volume = 182 Å³/cell
1.0
5.903 0.000 0.000
0.000 5.225 0.000
0.000 0.000 5.903
Re Tl Bi Sr
1 1 2 1
direct
0.000 0.500 0.000
0.000 0.000 0.000
0.000 0.000 0.500
0.500 0.000 0.000
0.500 0.500 0.500

***

Entry 5:
PBE Ac2VAgS6, optimized geometry; volume = 458 Å³/cell; energy relative to the elements, uncorrected = -1.302 eV per atom
1.0
-4.759 -3.138 3.216
4.772 -1.495 5.602
-2.573 7.862 4.290
Ac V Ag S
4 2 2 12
direct
0.041 0.897 0.246
0.541 0.603 0.746
0.959 0.103 0.754
0.459 0.397 0.254
0.500 0.000 0.500
0.000 0.500 0.000
0.500 0.000 0.000
0.000 0.500 0.500
0.305 0.662 0.044
0.805 0.838 0.544
0.695 0.338 0.956
0.195 0.162 0.456
0.343 0.712 0.448
0.843 0.788 0.948
0.657 0.288 0.552
0.157 0.212 0.052
0.894 0.524 0.241
0.394 0.976 0.741
0.106 0.476 0.759
0.606 0.024 0.259

***

Entry 6:
PBE ScMoIr2, optimized geometry; DFT formation energy = -252 meV/atom; volume = 65 Å³/cell; ΔE to the lowest computed polymorph = 267 meV/atom
1.0
4.506 -0.024 -0.134
2.316 -2.876 2.585
2.180 -3.468 -1.881
Sc Mo Ir
1 1 2
direct
0.000 0.000 0.000
0.500 0.500 0.500
0.250 0.250 0.250
0.750 0.750 0.750

***

Entry 7:
PBE Y3ZnIr3, optimized geometry; DFT formation energy = -766 meV/atom; volume = 293 Å³/cell
1.0
4.185 0.000 0.000
-2.093 5.106 0.000
0.000 0.000 13.717
Y Zn Ir
6 2 6
direct
0.199 0.398 0.896
0.801 0.602 0.104
0.199 0.398 0.604
0.801 0.602 0.396
0.483 0.967 0.750
0.517 0.033 0.250
0.500 0.000 0.000
0.500 0.000 0.500
0.909 0.819 0.909
0.091 0.181 0.091
0.909 0.819 0.591
0.091 0.181 0.409
0.765 0.530 0.750
0.235 0.470 0.250

***

Entry 8:
PBE CaAc2N, optimized geometry; volume = 132 Å³/cell; energy relative to the elements, uncorrected = -0.478 eV per atom; ΔE to the lowest computed polymorph = 3 meV/atom
1.0
-1.394 -2.746 2.343
2.266 -1.551 2.725
-2.741 5.744 8.295
Ac Ca N
2 1 1
direct
0.284 0.284 0.147
0.716 0.716 0.853
0.500 0.500 0.500
0.000 0.000 0.000

***

Entry 9:
PBE Re2TeAs, optimized geometry; volume = 70 Å³/cell; energy relative to the elements, uncorrected = 1.093 eV per atom; ΔE to the lowest computed polymorph = 848 meV/atom
1.0
5.374 0.009 0.025
-2.629 4.539 -0.011
0.116 1.033 2.886
Re As Te
2 1 1
direct
0.000 0.000 0.000
0.500 0.000 0.500
0.500 0.500 0.000
0.000 0.500 0.500

***

Entry 10:
PBE CeTaVSi2, optimized geometry; volume = 91 Å³/cell; energy relative to the elements, uncorrected = -0.567 eV per atom
1.0
-1.028 2.336 -3.047
-3.128 -2.338 -0.738
-1.139 3.190 5.423
Ce Ta V Si
1 1 1 2
direct
0.000 0.000 0.000
0.250 0.750 0.500
0.750 0.250 0.500
0.606 0.606 0.211
0.394 0.394 0.789

***

Entry 11:
PBE TbBe17Os, optimized geometry; DFT formation energy = -82 meV/atom; volume = 176 Å³/cell
1.0
5.600 0.005 0.667
0.593 5.569 0.667
0.006 0.005 5.640
Tb Be Os
1 17 1
direct
0.659 0.659 0.659
0.289 0.009 0.702
0.702 0.289 0.009
0.009 0.702 0.289
0.289 0.702 0.009
0.009 0.289 0.702
0.702 0.009 0.289
0.340 0.866 0.340
0.340 0.340 0.866
0.866 0.340 0.340
0.647 0.168 0.647
0.647 0.647 0.168
0.168 0.647 0.647
0.997 0.504 0.997
0.997 0.997 0.504
0.504 0.997 0.997
0.909 0.909 0.909
0.102 0.102 0.102
0.325 0.325 0.325

***

Entry 12:
PBE CaSc2Nb, optimized geometry; DFT formation energy = 394 meV/atom; volume = 97 Å³/cell; ΔE to the lowest computed polymorph = 195 meV/atom
1.0
0.000 3.643 3.643
3.643 0.000 3.643
3.643 3.643 0.000
Sc Nb Ca
2 1 1
direct
0.250 0.250 0.250
0.750 0.750 0.750
0.500 0.500 0.500
0.000 0.000 0.000

***

> Look up the volume of the fifth one.

458 Å³/cell